# 1
A plane-wave DFT calculation with PBE was carried out for CuAg2Ir after structural relaxation.

- space group = P4/mmm, No. 123
- E above lowest polymorph (eV/atom) = 0.1428
- total magnetic moment (μB per cell) = 0.07
- DFT total energy (eV per atom) = -4.324

Lattice parameters (Å, degrees): 2.733 2.733 8.317 90.00 90.00 90.00
Site moments in Bohr magnetons follow the coordinates.
Positions (direct):
Ag 0.000 0.000 0.489  0.00
Ag 0.000 0.000 0.011  0.00
Ir 0.500 0.500 0.750  0.06
Cu 0.500 0.500 0.250  0.00

---

# 2
A plane-wave DFT calculation with PBE was carried out for Na2CoAsP after structural relaxation.

- space group = P4/mmm, No. 123
- total magnetic moment (μB per cell) = 1.81
- DFT total energy (eV per atom) = -3.446

Lattice parameters (Å, degrees): 5.409 5.409 4.304 90.00 90.00 90.00
Site moments in Bohr magnetons follow the coordinates.
Positions (direct):
P 0.500 0.500 0.500  0.31
Co 0.000 0.000 0.500  1.10
Na 0.000 0.500 0.000  0.00
Na 0.500 0.000 0.000  0.00
As 0.000 0.000 0.000  -0.01

---

# 3
A plane-wave DFT calculation with PBE was carried out for Cu2SiPd4 after structural relaxation.

- space group = P1, No. 1
- E above lowest polymorph (eV/atom) = 0.0000
- formation energy (no corrections) (eV/atom) = -0.32
- total magnetic moment (μB per cell) = 0.00
- DFT total energy (eV per atom) = -5.230

Lattice parameters (Å, degrees): 5.443 6.814 7.592 119.95 116.61 95.10
Positions (direct):
Pd 0.091 0.688 0.822
Pd 0.179 0.985 0.286
Pd 0.754 0.885 0.565
Pd 0.585 0.726 0.805
Pd 0.721 0.592 0.123
Pd 0.410 0.116 0.922
Pd 0.009 0.383 0.352
Pd 0.203 0.502 0.103
Cu 0.683 0.306 0.703
Cu 0.545 0.395 0.392
Cu 0.643 0.002 0.255
Cu 0.169 0.279 0.673
Si 0.239 0.799 0.500
Si 0.016 0.093 0.998

---

# 4
A plane-wave DFT calculation with PBE was carried out for Sc2MoIr after structural relaxation.

- space group = Pmm2, No. 25
- total magnetic moment (μB per cell) = 0.00
- DFT total energy (eV per atom) = -8.210

Lattice parameters (Å, degrees): 2.980 4.326 5.524 90.00 90.00 90.00
Positions (direct):
Ir 0.000 0.000 0.501
Sc 0.500 0.500 0.272
Sc 0.000 0.000 0.982
Mo 0.500 0.500 0.745

---

# 5
A plane-wave DFT calculation with PBE was carried out for InTc2BAu after structural relaxation.

- space group = P4/mmm, No. 123
- total magnetic moment (μB per cell) = 6.71
- DFT total energy (eV per atom) = -4.245

Lattice parameters (Å, degrees): 5.140 5.073 5.140 90.00 90.00 90.00
Site moments in Bohr magnetons follow the coordinates.
Positions (direct):
B 0.500 0.500 0.500  -0.17
Tc 0.500 0.000 0.000  2.94
Tc 0.000 0.000 0.500  3.36
In 0.000 0.500 0.000  -0.03
Au 0.000 0.000 0.000  0.15

---

# 6
A plane-wave DFT calculation with PBE was carried out for Sr3Si after structural relaxation.

- space group = R-3m, No. 166
- E above lowest polymorph (eV/atom) = 0.1599
- formation energy (no corrections) (eV/atom) = -0.02
- total magnetic moment (μB per cell) = 0.00
- DFT total energy (eV per atom) = -2.633

Lattice parameters (Å, degrees): 11.656 11.656 11.656 21.42 21.42 21.42
Positions (direct):
Si 0.000 0.000 0.000
Sr 0.721 0.721 0.721
Sr 0.500 0.500 0.500
Sr 0.279 0.279 0.279